# Tl2MoIr

An optimized crystal structure of Tl2MoIr (GGA-PBE, Alexandria via LeMat-Bulk).

Cell: 9.3001 9.3001 9.3001 Å, 19.23 19.23 19.23°
Sites, in units of the cell vectors:
Ir 0.2500 0.2500 0.2500
Tl 0.9977 0.9977 0.9977
Tl 0.5023 0.5023 0.5023
Mo 0.7500 0.7500 0.7500

- Theoretical density: 15.17 g cm⁻³
- Total energy: -5.35 eV/atom
- Size of the total moment: 0.00 μB/cell
- Calculated formation energy: 3.02 eV/f.u.
- SG: R-3m, No. 166
- Offset from the most stable computed form: 465 meV/atom